Record 1
This record from OQMD describes a relaxed structure of Ho3ErPt4. The functional is PBE.

abc: 5.544 4.481 6.985
angles: 90.00 90.08 90.00
Sites, in units of the cell vectors:
1 Pt 0.155 0.000 0.044
2 Pt 0.344 0.000 0.545
3 Pt 0.845 0.500 0.954
4 Ho 0.360 0.500 0.818
5 Pt 0.656 0.500 0.456
6 Ho 0.640 0.000 0.182
7 Ho 0.140 0.500 0.318
8 Er 0.860 0.000 0.682

E = -6.620 eV/atom


Record 2
This record from OQMD describes a relaxed structure of HoEr3Pt4. The functional is PBE.

abc: 5.537 4.474 6.965
angles: 90.00 90.08 90.00
Sites, in units of the cell vectors:
1 Pt 0.844 0.000 0.044
2 Er 0.141 0.000 0.682
3 Pt 0.344 0.500 0.456
4 Pt 0.655 0.000 0.546
5 Pt 0.156 0.500 0.955
6 Er 0.640 0.500 0.818
7 Ho 0.860 0.500 0.318
8 Er 0.360 0.000 0.182

E = -6.623 eV/atom


no.,formation enthalpy at 0 K (eV per atom)
1,-1.305
2,-1.312